This record from Alexandria describes a relaxed structure of Rb2V2Cr. The functional is PBE.

Summary:
- Space group: No. 127
- DOS at the Fermi energy: 7.81 states/eV/cell
- Total energy: -0.346 Ry per atom
- Formation enthalpy at 0 K: 6.3 eV per formula unit

Unit cell a=6.421 b=6.421 c=6.578 alpha=90.00 beta=90.00 gamma=90.00
Sites, in units of the cell vectors:
Rb 0.184 0.316 0.000
Rb 0.316 0.816 0.000
Rb 0.684 0.184 0.000
Rb 0.816 0.684 0.000
V 0.172 0.672 0.500
V 0.328 0.172 0.500
V 0.672 0.828 0.500
V 0.828 0.328 0.500
Cr 0.000 0.000 0.500
Cr 0.500 0.500 0.500